Model one:
The following is a DFT calculation (PBE) of crystalline Dy4SbSe2 at its relaxed geometry.

Structure (CIF):
```
data_Dy4SbSe2
_symmetry_space_group_name_H-M 'C m c m'
_symmetry_Int_Tables_number 63
_symmetry_space_group_name_Hall '-C 2c 2'
_cell_length_a 4.1029
_cell_length_b 13.2363
_cell_length_c 13.7648
_cell_angle_alpha 90.00
_cell_angle_beta 90.00
_cell_angle_gamma 90.00
loop_
_atom_site_label
_atom_site_type_symbol
_atom_site_fract_x
_atom_site_fract_y
_atom_site_fract_z
Dy1 Dy 0.0000 0.0000 0.0000
Dy2 Dy 0.0000 0.2729 0.1232
Dy3 Dy 0.0000 0.4321 0.7500
Sb1 Sb 0.0000 0.1028 0.7500
Se1 Se 0.0000 0.3629 0.5597
```

Output
Calculated volume in Å³/f.u.: 186.88
D(E_F) in states/eV per atom: 0.64
Crystal system: orthorhombic
Spin magnetization in μB per atom: 0.0000

Model two:
The following is a DFT calculation (PBE) of crystalline Dy4SbSe2 at its relaxed geometry.

Structure (CIF):
```
data_Dy4SbSe2
_symmetry_space_group_name_H-M 'C m m m'
_symmetry_Int_Tables_number 65
_symmetry_space_group_name_Hall '-C 2 2'
_cell_length_a 7.8361
_cell_length_b 11.7705
_cell_length_c 4.1715
_cell_angle_alpha 90.00
_cell_angle_beta 90.00
_cell_angle_gamma 90.00
loop_
_atom_site_label
_atom_site_type_symbol
_atom_site_fract_x
_atom_site_fract_y
_atom_site_fract_z
Dy1 Dy 0.2300 0.0000 0.0000
Dy2 Dy 0.2500 0.2500 0.5000
Sb1 Sb 0.0000 0.5000 0.5000
Se1 Se 0.0000 0.1868 0.0000
```

Output
Calculated volume in Å³/f.u.: 192.38
D(E_F) in states/eV per atom: 0.71
Crystal system: orthorhombic
Spin magnetization in μB per atom: 0.0000

Which of them is least stable? Easy: model two.